A relaxed MgSeCl2 crystal, computed with PBE.

Summary:
**Size of the total moment**: 0.000 μB per cell
**ΔE_f (raw)**: -0.898 eV per atom
**Energy**: -3.09 eV per atom
**Calculated volume**: 246.3 Å³ per cell

a = 14.2777 Å, b = 3.3227 Å, c = 5.3096 Å
α = 90.00°, β = 102.13°, γ = 90.00°
Last column: nearest neighbours and their distance in Å.
Space group Cm (No. 8)
Inequivalent atoms, fractional coordinates:
Mg 0.0000 0.0000 0.0000 [2 per cell]  2 Cl 2.36
Se 0.3689 0.0000 0.6708 [2 per cell]  2 Cl 2.61-2.73, 2 Mg 2.82
Cl 0.1201 0.5000 0.0823 [2 per cell]  2 Mg 2.36
Cl 0.3882 0.0000 0.1931 [2 per cell]  2 Se 2.61-2.73, 2 Mg 2.65

A relaxed Mg2SeCl2 crystal, computed with PBE.

Summary:
**Size of the total moment**: 0.000 μB per cell
**ΔE_f (raw)**: -1.595 eV per atom
**Energy**: -3.67 eV per atom
**Calculated volume**: 238.2 Å³ per cell

a = 6.5583 Å, b = 3.7868 Å, c = 9.5927 Å
α = 90.00°, β = 90.27°, γ = 90.00°
Last column: nearest neighbours and their distance in Å.
Space group C2/m (No. 12)
Inequivalent atoms, fractional coordinates:
Mg 0.1676 0.0000 0.1693 [4 per cell]  3 Cl 2.56, 3 Se 2.72
Se 0.0000 0.5000 0.0000 [2 per cell]  6 Mg 2.72
Cl 0.1645 0.0000 0.6924 [4 per cell]  3 Mg 2.56

A relaxed MgSeCl2 crystal, computed with PBE.

Summary:
**Size of the total moment**: 0.000 μB per cell
**ΔE_f (raw)**: -0.482 eV per atom
**Energy**: -2.67 eV per atom
**Calculated volume**: 84.3 Å³ per cell

a = 3.5581 Å, b = 4.1938 Å, c = 5.6497 Å
α = 90.00°, β = 90.00°, γ = 90.00°
Last column: nearest neighbours and their distance in Å.
Space group Pmmm (No. 47)
Inequivalent atoms, fractional coordinates:
Mg 0.0000 0.0000 0.0000 [1 per cell]  4 Cl 2.75
Se 0.5000 0.0000 0.5000 [1 per cell]  4 Cl 2.75
Cl 0.0000 0.5000 0.5000 [1 per cell]  4 Se 2.75
Cl 0.5000 0.5000 0.0000 [1 per cell]  4 Mg 2.75

A relaxed MgSeCl2 crystal, computed with PBE.

Summary:
**Size of the total moment**: 0.000 μB per cell
**ΔE_f (raw)**: -0.937 eV per atom
**Energy**: -3.13 eV per atom
**Calculated volume**: 102.8 Å³ per cell

a = 4.8732 Å, b = 4.0958 Å, c = 5.2540 Å
α = 90.00°, β = 101.31°, γ = 90.00°
Last column: nearest neighbours and their distance in Å.
Space group Pm (No. 6)
Inequivalent atoms, fractional coordinates:
Mg 0.0000 0.0000 0.0000 [1 per cell]  2 Cl 2.43-2.50, 2 Se 2.66
Se 0.1766 0.5000 0.3114 [1 per cell]  1 Cl 2.25
Cl 0.4920 0.0000 0.9270 [1 per cell]  2 Mg 2.43-2.50
Cl 0.8911 0.5000 0.6001 [1 per cell]  1 Se 2.25

A relaxed MgSe3Cl crystal, computed with PBE.

Summary:
**Size of the total moment**: 0.000 μB per cell
**ΔE_f (raw)**: 0.288 eV per atom
**Energy**: -2.49 eV per atom
**Calculated volume**: 128.7 Å³ per cell

a = 5.0492 Å, b = 5.0492 Å, c = 5.0492 Å
α = 90.00°, β = 90.00°, γ = 90.00°
Last column: nearest neighbours and their distance in Å.
Space group Pm-3m (No. 221)
Inequivalent atoms, fractional coordinates:
Mg 0.0000 0.0000 0.0000 [1 per cell]  6 Se 2.52
Se 0.0000 0.0000 0.5000 [3 per cell]  2 Mg 2.52
Cl 0.5000 0.5000 0.5000 [1 per cell]  12 Se 3.57

A relaxed MgSeCl2 crystal, computed with PBE.

Summary:
**Size of the total moment**: 0.000 μB per cell
**ΔE_f (raw)**: -0.886 eV per atom
**Energy**: -3.08 eV per atom
**Calculated volume**: 249.7 Å³ per cell

a = 3.5437 Å, b = 4.9829 Å, c = 14.1436 Å
α = 90.00°, β = 90.00°, γ = 90.00°
Last column: nearest neighbours and their distance in Å.
Space group Imm2 (No. 44)
Inequivalent atoms, fractional coordinates:
Mg 0.0000 0.0000 0.0000 [2 per cell]  2 Cl 2.39, 2 Se 2.67
Se 0.0000 0.5000 0.6416 [2 per cell]  2 Cl 2.55, 2 Mg 2.67
Cl 0.0000 0.0000 0.6022 [2 per cell]  2 Se 2.55
Cl 0.0000 0.5000 0.3867 [2 per cell]  2 Mg 2.39

A relaxed Mg2Se2Cl crystal, computed with PBE.

Summary:
**Size of the total moment**: 0.000 μB per cell
**ΔE_f (raw)**: -0.635 eV per atom
**Energy**: -3.04 eV per atom
**Calculated volume**: 291.7 Å³ per cell

a = 4.6533 Å, b = 4.6533 Å, c = 13.4703 Å
α = 90.00°, β = 90.00°, γ = 90.00°
Last column: nearest neighbours and their distance in Å.
Space group I4/mmm (No. 139)
Inequivalent atoms, fractional coordinates:
Mg 0.0000 0.0000 0.1599 [4 per cell]  4 Se 2.62
Se 0.0000 0.5000 0.2500 [4 per cell]  4 Mg 2.62
Cl 0.0000 0.0000 0.5000 [2 per cell]  8 Mg 3.93, 8 Se 4.09

A relaxed MgSeCl2 crystal, computed with PBE.

Summary:
**Size of the total moment**: 7.915 μB per cell
**ΔE_f (raw)**: -0.208 eV per atom
**Energy**: -2.40 eV per atom
**Calculated volume**: 344.5 Å³ per cell

a = 7.0100 Å, b = 7.0100 Å, c = 7.0100 Å
α = 90.00°, β = 90.00°, γ = 90.00°
Last column: nearest neighbours and their distance in Å.
Space group F-43m (No. 216)
Inequivalent atoms, fractional coordinates:
Mg 0.0000 0.0000 0.0000 [4 per cell]  4 Cl 3.04, 4 Se 3.04
Se 0.2500 0.2500 0.2500 [4 per cell]  4 Cl 3.04, 4 Mg 3.04
Cl 0.0000 0.0000 0.5000 [4 per cell]  4 Cl 3.04, 4 Se 3.04
Cl 0.2500 0.2500 0.7500 [4 per cell]  4 Cl 3.04, 4 Mg 3.04

A relaxed MgSe2Cl crystal, computed with PBE.

Summary:
**Size of the total moment**: 0.000 μB per cell
**ΔE_f (raw)**: -0.480 eV per atom
**Energy**: -3.08 eV per atom
**Calculated volume**: 175.9 Å³ per cell

a = 3.8258 Å, b = 3.8258 Å, c = 12.0162 Å
α = 90.00°, β = 90.00°, γ = 90.00°
Last column: nearest neighbours and their distance in Å.
Space group I4/mmm (No. 139)
Inequivalent atoms, fractional coordinates:
Mg 0.0000 0.0000 0.0000 [2 per cell]  4 Cl 2.71
Se 0.0000 0.5000 0.2500 [4 per cell]  4 Se 2.71
Cl 0.0000 0.0000 0.5000 [2 per cell]  4 Mg 2.71

A relaxed MgSeCl2 crystal, computed with PBE.

Summary:
**Size of the total moment**: 2.714 μB per cell
**ΔE_f (raw)**: -0.770 eV per atom
**Energy**: -2.96 eV per atom
**Calculated volume**: 237.3 Å³ per cell

a = 3.2551 Å, b = 6.3896 Å, c = 11.4074 Å
α = 90.00°, β = 90.00°, γ = 90.00°
Last column: nearest neighbours and their distance in Å.
Space group Immm (No. 71)
Inequivalent atoms, fractional coordinates:
Mg 0.0000 0.0000 0.0000 [2 per cell]  4 Cl 2.37
Se 0.0000 0.0000 0.5000 [2 per cell]  2 Se 3.26, 4 Mg 3.59, 4 Cl 3.63
Cl 0.0000 0.5000 0.3484 [4 per cell]  2 Mg 2.37

A relaxed MgSeCl2 crystal, computed with PBE.

Summary:
**Size of the total moment**: 0.000 μB per cell
**ΔE_f (raw)**: -0.862 eV per atom
**Energy**: -3.06 eV per atom
**Calculated volume**: 226.9 Å³ per cell

a = 13.2562 Å, b = 3.6127 Å, c = 4.8002 Å
α = 90.00°, β = 99.26°, γ = 90.00°
Last column: nearest neighbours and their distance in Å.
Space group C2/m (No. 12)
Inequivalent atoms, fractional coordinates:
Mg 0.0000 0.0000 0.0000 [2 per cell]  4 Cl 2.59
Se 0.0000 0.5000 0.5000 [2 per cell]  2 Cl 2.49
Cl 0.1338 0.5000 0.1898 [4 per cell]  1 Se 2.49, 2 Mg 2.59

A relaxed MgSeCl2 crystal, computed with PBE.

Summary:
**Size of the total moment**: 1.480 μB per cell
**ΔE_f (raw)**: -0.979 eV per atom
**Energy**: -3.17 eV per atom
**Calculated volume**: 368.0 Å³ per cell

a = 3.4051 Å, b = 3.4051 Å, c = 36.6487 Å
α = 90.00°, β = 90.00°, γ = 120.00°
Last column: nearest neighbours and their distance in Å.
Space group R-3m (No. 166, hexagonal axes)
Inequivalent atoms, fractional coordinates:
Mg 0.0000 0.0000 0.0000 [3 per cell]  6 Cl 2.45
Se 0.0000 0.0000 0.5000 [3 per cell]  6 Se 3.41
Cl 0.0000 0.0000 0.2932 [6 per cell]  3 Mg 2.45

Question: Which value of calculated volume does entry 3 give?
Answer: 84.3 Å³ per cell

Question: Among the records above, which one has the highest energy?
Answer: number 8